Here is an optimized crystal structure of Rb2NaNpI6 from Alexandria via LeMat-Bulk. Energies are from PBE.

It has space group P2_1/c (No. 14), with a = 8.421 Å, b = 8.973 Å, c = 14.795 Å, α = 90.00°, β = 124.46° and γ = 90.00°. The inequivalent atoms are Rb at (0.222, 0.080, 0.250), Na at (0.000, 0.000, 0.500), Np at (0.500, 0.000, 0.000), I at (0.149, 0.192, 0.949), I at (0.269, 0.704, 0.954) and I at (0.351, 0.023, 0.754).

The value obtained for the energy is -37.61 eV/f.u. The density comes out at 4.30 g cm⁻³. The calculation puts the magnetization at 4.000 μB/f.u. Its uncorrected formation energy is -1.21 eV/atom.

Here is an optimized crystal structure of Ac6InRh4 from Alexandria via LeMat-Bulk. Energies are from PBE.

It has space group Cmcm (No. 63), with a = 4.310 Å, b = 14.513 Å, c = 22.342 Å, α = 90.00°, β = 90.00° and γ = 90.00°. The inequivalent atoms are Ac at (0.000, 0.000, 0.000), Ac at (0.000, 0.153, 0.250), Ac at (0.000, 0.268, 0.584), Ac at (0.000, 0.461, 0.153), In at (0.000, 0.161, 0.750), Rh at (0.000, 0.098, 0.127) and Rh at (0.000, 0.362, 0.042).

The value obtained for the energy is -63.19 eV/f.u. The density comes out at 8.98 g cm⁻³. As for the formation energy: -6.40 eV/f.u. The calculation puts the magnetization at 0.000 μB/f.u.

Here is an optimized crystal structure of Gd3TiS6 from Alexandria via LeMat-Bulk. Energies are from PBE.

It has space group Pnnm (No. 58), with a = 13.508 Å, b = 16.181 Å, c = 3.784 Å, α = 90.00°, β = 90.00° and γ = 90.00°. The inequivalent atoms are Gd at (0.050, 0.217, 0.000), Gd at (0.180, 0.648, 0.000), Gd at (0.241, 0.900, 0.500), Ti at (0.000, 0.000, 0.500), Ti at (0.000, 0.500, 0.500), S at (0.021, 0.400, 0.000), S at (0.086, 0.925, 0.000), S at (0.102, 0.754, 0.500), S at (0.124, 0.104, 0.500), S at (0.182, 0.520, 0.500) and S at (0.187, 0.287, 0.500).

The value obtained for the energy is -93.88 eV/f.u. The density comes out at 5.72 g cm⁻³. The calculation puts the magnetization at 6.411 μB/f.u. Its uncorrected formation energy is -1.90 eV/atom.

Here is an optimized crystal structure of MoPNCl2 from Alexandria via LeMat-Bulk. Energies are from PBE.

It has space group P4/mmm (No. 123), with a = 4.884 Å, b = 4.884 Å, c = 4.678 Å, α = 90.00°, β = 90.00° and γ = 90.00°. The inequivalent atoms are Mo at (0.000, 0.000, 0.000), P at (0.000, 0.000, 0.500), N at (0.500, 0.500, 0.500) and Cl at (0.000, 0.500, 0.000).

The value obtained for the energy is -23.37 eV/f.u. The density comes out at 3.15 g cm⁻³. The energy above the most stable polymorph in this dataset is 0.000 eV/atom. The calculation puts the magnetization at 3.373 μB/f.u. Its uncorrected formation energy is 0.98 eV/atom.

Here is an optimized crystal structure of HgC3Cl from Alexandria via LeMat-Bulk. Energies are from PBE.

It has space group Pm-3m (No. 221), with a = 4.025 Å, b = 4.025 Å, c = 4.025 Å, α = 90.00°, β = 90.00° and γ = 90.00°. The inequivalent atoms are Hg at (0.000, 0.000, 0.000), C at (0.000, 0.500, 0.500) and Cl at (0.500, 0.500, 0.500).

The value obtained for the energy is -12.52 eV/f.u. The density comes out at 6.93 g cm⁻³. The energy above the most stable polymorph in this dataset is 0.000 eV/atom. The calculation puts the magnetization at 0.000 μB/f.u. Its uncorrected formation energy is 3.46 eV/atom.

Here is an optimized crystal structure of NdMgIn5 from Alexandria via LeMat-Bulk. Energies are from PBE.

It has space group P4/mmm (No. 123), with a = 4.998 Å, b = 4.998 Å, c = 7.507 Å, α = 90.00°, β = 90.00° and γ = 90.00°. The inequivalent atoms are Nd at (0.000, 0.000, 0.000), Mg at (0.000, 0.000, 0.500), In at (0.000, 0.500, 0.292) and In at (0.500, 0.500, 0.000).

The value obtained for the energy is -21.75 eV/f.u. The density comes out at 6.58 g cm⁻³. As for the formation energy: -1.69 eV/f.u. The calculation puts the magnetization at 0.000 μB/f.u.

> Among the records above, which one has the highest magnetization?

Gd3TiS6